Entry from Alexandria: a relaxed NpNi5P3 crystal (PBE).

The space group is Cmcm (No. 63) and the conventional cell measures 3.556, 11.708 and 11.320 Å, with angles of 90.00, 90.00 and 90.00 degrees. Symmetry generates all atoms from Np at (0.000, 0.152, 0.250), Ni at (0.000, 0.000, 0.000), Ni at (0.000, 0.200, 0.566), Ni at (0.000, 0.442, 0.144), P at (0.000, 0.123, 0.750) and P at (0.000, 0.383, 0.548).

The calculation puts the density of states at the Fermi level at 52.90 states/eV/cell. The calculation puts the total moment at 0.45 μB/atom. For the formation energy, the calculation gives -0.63 eV/atom.